A plane-wave DFT calculation with GGA-PBE was carried out for a relaxed structure of AcPb3.

The structure belongs to space group Imm2 (No. 44); the cell edges are 4.0344, 11.5160 and 5.7389 Å and the angles 90.00°, 90.00° and 90.00°. The asymmetric unit holds Ac at (0.0000, 0.0000, 0.0000), Pb at (0.0000, 0.2384, 0.5683) and Pb at (0.0000, 0.5000, 0.0010).

The formation energy is -0.2750 eV/atom. The value obtained for the density of states at the Fermi level is 0.663 states/eV/atom. The calculation puts the total moment at 0.0 Bohr magnetons per cell.